The following is a PBE-GGA calculation of crystalline Zr3TaMn at its relaxed geometry, from Alexandria via LeMat-Bulk.

Its theoretical density is 7.77 g/cm³. The energy of formation is 306 kJ/mol of formula units. The total energy is -8.698 eV/atom. As for the calculated volume: 109 Å³/cell.

a = 4.776 Å, b = 4.776 Å, c = 4.776 Å
α = 90.00°, β = 90.00°, γ = 90.00°
Space group Pm-3m (No. 221)
Asymmetric unit:
Zr 0.000 0.000 0.500 (multiplicity 3)
Ta 0.500 0.500 0.500 (multiplicity 1)
Mn 0.000 0.000 0.000 (multiplicity 1)